# Er4GaNi

A relaxed Er4GaNi crystal (PBE-GGA, the Alexandria database).

Lattice parameters (Å, degrees): 5.3196 6.8550 8.1169 90.00 100.89 90.00
Last column: nearest neighbours and their distance in Å.
Fractional coordinates of all 12 atoms:
Er: 0.1455 0.2500 0.0692  1 Ni 2.60
Er: 0.2265 0.7500 0.3816  1 Ni 2.84, 2 Ga 3.02-3.05
Er: 0.3217 0.5067 0.7628  2 Ni 2.73-2.88
Er: 0.3217 0.9933 0.7628  2 Ni 2.73-2.88
Er: 0.6783 0.0067 0.2372  2 Ni 2.73-2.88
Er: 0.6783 0.4933 0.2372  2 Ni 2.73-2.88
Er: 0.7735 0.2500 0.6184  1 Ni 2.84, 2 Ga 3.02-3.05
Er: 0.8545 0.7500 0.9308  1 Ni 2.60
Ga: 0.2233 0.2500 0.4349  5 Er 2.92-3.15
Ga: 0.7767 0.7500 0.5651  5 Er 2.92-3.15
Ni: 0.3431 0.7500 0.0544  6 Er 2.60-2.88
Ni: 0.6569 0.2500 0.9456  6 Er 2.60-2.88

Summary:
As for the density of states at the Fermi level: 9.96 states/eV per cell. As for the crystal system: monoclinic. Its energy above the lowest structure with this stoichiometry is 0 meV/atom. As for the density: 9.1 Mg/m³. The calculated formation energy comes out at -31.5 kJ/mol of atoms. Its space group is P2_1/m.